Na3NiO3 | PBE with a Hubbard U | optimized geometry

The size of the total moment is 0.429 μB/atom. The offset from the most stable computed form comes out at 0.000 eV per atom. The value obtained for the density of states at the Fermi level is 0.00 states/eV/f.u.

The space group is P-1 (No. 2) and the conventional cell measures 5.809, 5.886 and 6.363 Å, with angles of 64.47, 89.13 and 86.00 degrees. The asymmetric unit holds Na at (0.062, 0.266, 0.447), Na at (0.138, 0.264, 0.983), Na at (0.437, 0.760, 0.747), Ni at (0.369, 0.684, 0.316), O at (0.242, 0.598, 0.103), O at (0.255, 0.965, 0.346) and O at (0.310, 0.415, 0.631).